Record 1
Hf2MnZnH (PBE-GGA, optimized geometry); E = -6.943 eV per atom; space group = P4/mmm, No. 123; calculated volume = 69.8 Å³ per cell; DOS(E_F) = 2.88 states/eV/f.u.
1.0
4.546 0.000 0.000
0.000 4.546 0.000
0.000 0.000 3.378
Hf Mn Zn H
2 1 1 1
Direct
0.000 0.500 0.000 Hf
0.500 0.000 0.000 Hf
0.000 0.000 0.500 Mn
0.500 0.500 0.500 Zn
0.000 0.000 0.000 H

***

Record 2
HfZr2MnH (PBE-GGA, optimized geometry); E = -7.900 eV per atom; space group = P4/mmm, No. 123; calculated volume = 81.4 Å³ per cell; DOS(E_F) = 7.42 states/eV/f.u.
1.0
4.696 0.000 0.000
0.000 4.696 0.000
0.000 0.000 3.692
Hf Zr Mn H
1 2 1 1
Direct
0.000 0.000 0.000 Hf
0.000 0.500 0.500 Zr
0.500 0.000 0.500 Zr
0.500 0.500 0.000 Mn
0.500 0.500 0.500 H

***

Record 3
Hf4MoH2 (PBE-GGA, optimized geometry); E = -7.672 eV per atom; space group = I4/mmm, No. 139; calculated volume = 126.1 Å³ per cell; DOS(E_F) = 5.82 states/eV/f.u.
1.0
-2.449 2.449 5.258
2.449 -2.449 5.258
2.449 2.449 -5.258
Hf Mo H
4 1 2
Direct
0.000 0.500 0.500 Hf
0.246 0.246 0.000 Hf
0.500 0.000 0.500 Hf
0.754 0.754 0.000 Hf
0.500 0.500 0.000 Mo
0.066 0.066 0.000 H
0.934 0.934 0.000 H

***

Record 4
HfMoH3 (PBE-GGA, optimized geometry); E = -6.307 eV per atom; space group = C2/c, No. 15; calculated volume = 185.4 Å³ per cell; DOS(E_F) = 1.88 states/eV/f.u.
1.0
3.898 -4.511 0.000
3.898 4.511 0.000
-1.628 0.000 5.272
Hf Mo H
4 4 12
Direct
0.107 0.893 0.750 Hf
0.334 0.666 0.250 Hf
0.666 0.334 0.750 Hf
0.893 0.107 0.250 Hf
0.194 0.425 0.680 Mo
0.425 0.194 0.180 Mo
0.575 0.806 0.820 Mo
0.806 0.575 0.320 Mo
0.044 0.829 0.368 H
0.074 0.606 0.902 H
0.171 0.956 0.132 H
0.222 0.340 0.994 H
0.340 0.222 0.494 H
0.394 0.926 0.598 H
0.606 0.074 0.402 H
0.660 0.778 0.506 H
0.778 0.660 0.006 H
0.829 0.044 0.868 H
0.926 0.394 0.098 H
0.956 0.171 0.632 H

***

Record 5
HfMo2H (PBE-GGA, optimized geometry); E = -7.616 eV per atom; space group = Fm-3m, No. 225; calculated volume = 61.1 Å³ per cell; DOS(E_F) = 6.78 states/eV/f.u.
1.0
0.000 3.127 3.127
3.127 0.000 3.127
3.127 3.127 0.000
Hf Mo H
1 2 1
Direct
0.000 0.000 0.000 Hf
0.250 0.250 0.250 Mo
0.750 0.750 0.750 Mo
0.500 0.500 0.500 H

***

Record 6
HfMoH3 (PBE-GGA, optimized geometry); E = -6.198 eV per atom; space group = Pm-3m, No. 221; calculated volume = 45.1 Å³ per cell; DOS(E_F) = 3.66 states/eV/f.u.
1.0
3.560 0.000 0.000
0.000 3.560 0.000
0.000 0.000 3.560
Hf Mo H
1 1 3
Direct
0.000 0.000 0.000 Hf
0.500 0.500 0.500 Mo
0.000 0.500 0.500 H
0.500 0.000 0.500 H
0.500 0.500 0.000 H

***

Record 7
Hf2Mo2H7 (PBE-GGA, optimized geometry); E = -6.100 eV per atom; space group = C2/m, No. 12; calculated volume = 93.2 Å³ per cell; DOS(E_F) = 6.78 states/eV/f.u.
1.0
3.409 -3.207 0.000
3.409 3.207 0.000
-0.121 0.000 4.264
Hf Mo H
2 2 7
Direct
0.239 0.761 0.000 Hf
0.761 0.239 0.000 Hf
0.261 0.261 0.484 Mo
0.739 0.739 0.516 Mo
0.000 0.000 0.500 H
0.001 0.508 0.260 H
0.492 0.999 0.740 H
0.500 0.500 0.266 H
0.500 0.500 0.734 H
0.508 0.001 0.260 H
0.999 0.492 0.740 H

***

Record 8
Hf3Mo5H12 (PBE-GGA, optimized geometry); E = -6.358 eV per atom; space group = Ia-3d, No. 230; calculated volume = 701.5 Å³ per cell; DOS(E_F) = 9.30 states/eV/f.u.
1.0
-5.597 5.597 5.597
5.597 -5.597 5.597
5.597 5.597 -5.597
Hf Mo H
12 20 48
Direct
0.125 0.250 0.375 Hf
0.125 0.375 0.750 Hf
0.250 0.375 0.125 Hf
0.250 0.875 0.625 Hf
0.375 0.125 0.250 Hf
0.375 0.750 0.125 Hf
0.625 0.250 0.875 Hf
0.625 0.875 0.750 Hf
0.750 0.125 0.375 Hf
0.750 0.625 0.875 Hf
0.875 0.625 0.250 Hf
0.875 0.750 0.625 Hf
0.000 0.000 0.000 Mo
0.000 0.000 0.500 Mo
0.000 0.500 0.000 Mo
0.000 0.500 0.500 Mo
0.125 0.750 0.875 Mo
0.125 0.875 0.250 Mo
0.250 0.125 0.875 Mo
0.250 0.625 0.375 Mo
0.375 0.250 0.625 Mo
0.375 0.625 0.750 Mo
0.500 0.000 0.000 Mo
0.500 0.000 0.500 Mo
0.500 0.500 0.000 Mo
0.500 0.500 0.500 Mo
0.625 0.375 0.250 Mo
0.625 0.750 0.375 Mo
0.750 0.375 0.625 Mo
0.750 0.875 0.125 Mo
0.875 0.125 0.750 Mo
0.875 0.250 0.125 Mo
0.056 0.219 0.136 H
0.056 0.336 0.919 H
0.081 0.636 0.417 H
0.081 0.944 0.664 H
0.083 0.719 0.664 H
0.083 0.864 0.419 H
0.136 0.056 0.219 H
0.136 0.581 0.917 H
0.164 0.219 0.583 H
0.164 0.444 0.581 H
0.219 0.136 0.056 H
0.219 0.583 0.164 H
0.281 0.336 0.917 H
0.281 0.444 0.364 H
0.336 0.917 0.281 H
0.336 0.919 0.056 H
0.364 0.281 0.444 H
0.364 0.583 0.919 H
0.417 0.081 0.636 H
0.417 0.836 0.781 H
0.419 0.083 0.864 H
0.419 0.836 0.556 H
0.444 0.364 0.281 H
0.444 0.581 0.164 H
0.556 0.419 0.836 H
0.556 0.636 0.719 H
0.581 0.164 0.444 H
0.581 0.917 0.136 H
0.583 0.164 0.219 H
0.583 0.919 0.364 H
0.636 0.417 0.081 H
0.636 0.719 0.556 H
0.664 0.081 0.944 H
0.664 0.083 0.719 H
0.719 0.556 0.636 H
0.719 0.664 0.083 H
0.781 0.417 0.836 H
0.781 0.864 0.944 H
0.836 0.556 0.419 H
0.836 0.781 0.417 H
0.864 0.419 0.083 H
0.864 0.944 0.781 H
0.917 0.136 0.581 H
0.917 0.281 0.336 H
0.919 0.056 0.336 H
0.919 0.364 0.583 H
0.944 0.664 0.081 H
0.944 0.781 0.864 H

***

Record 9
HfMo2H (PBE-GGA, optimized geometry); E = -8.594 eV per atom; space group = I4_1/amd, No. 141; calculated volume = 121.0 Å³ per cell; DOS(E_F) = 2.66 states/eV/f.u.
1.0
-2.784 2.784 3.902
2.784 -2.784 3.902
2.784 2.784 -3.902
Hf Mo H
2 4 2
Direct
0.375 0.625 0.750 Hf
0.625 0.375 0.250 Hf
0.000 0.000 0.000 Mo
0.000 0.000 0.500 Mo
0.000 0.500 0.000 Mo
0.500 0.000 0.500 Mo
0.125 0.875 0.250 H
0.875 0.125 0.750 H

***

Record 10
Hf3MoH (PBE-GGA, optimized geometry); E = -7.421 eV per atom; space group = Pm-3m, No. 221; calculated volume = 128.7 Å³ per cell; DOS(E_F) = 5.92 states/eV/f.u.
1.0
5.049 0.000 0.000
0.000 5.049 0.000
0.000 0.000 5.049
Hf Mo H
3 1 1
Direct
0.000 0.000 0.500 Hf
0.000 0.500 0.000 Hf
0.500 0.000 0.000 Hf
0.000 0.000 0.000 Mo
0.500 0.500 0.500 H

***

Record 11
Hf3MoH (PBE-GGA, optimized geometry); E = -8.755 eV per atom; space group = Pm-3m, No. 221; calculated volume = 83.3 Å³ per cell; DOS(E_F) = 7.38 states/eV/f.u.
1.0
4.368 0.000 0.000
0.000 4.368 0.000
0.000 0.000 4.368
Hf Mo H
3 1 1
Direct
0.000 0.000 0.500 Hf
0.000 0.500 0.000 Hf
0.500 0.000 0.000 Hf
0.500 0.500 0.500 Mo
0.000 0.000 0.000 H